No. 1
An optimized crystal structure of LiGaC. Source: Alexandria, functional PBE-GGA.

Cell lengths 3.4865, 3.4865, 5.8938 Å; angles 90.00, 90.00, 120.00 degrees
Fractional coordinates of all 6 atoms:
Li: 0.0000 0.0000 0.2961
Ga: 0.6667 0.3333 0.5401
C: 0.6667 0.3333 0.9139
Ga: 0.3333 0.6667 0.0401
Li: 0.0000 0.0000 0.7961
C: 0.3333 0.6667 0.4139

* E_form: 252.9 meV per atom
* total magnetization: 0.00 μB/cell
* raw total energy: -4.469 eV/atom

=====

No. 2
An optimized crystal structure of Nd2PaTl. Source: Alexandria, functional PBE-GGA.

Cell lengths 3.4719, 3.4719, 9.8112 Å; angles 90.00, 90.00, 90.00 degrees
Each line ends with the local moment (μB).
Fractional coordinates of all 4 atoms:
Nd: 0.0000 0.0000 0.2482  0.00
Tl: 0.5000 0.5000 0.0000  0.00
Nd: 0.0000 0.0000 0.7518  0.00
Pa: 0.5000 0.5000 0.5000  0.07

* E_form: -2.0 meV per atom
* distance to the lowest polymorph of the same formula: 0.0 meV/atom
* total magnetization: 0.09 μB/cell
* raw total energy: -5.351 eV/atom

=====

No. 3
An optimized crystal structure of AcTm2TcO8. Source: Alexandria, functional PBE-GGA.

Cell lengths 5.0692, 5.0639, 6.9681 Å; angles 90.00, 90.00, 88.32 degrees
Fractional coordinates of all 12 atoms:
O: 0.6739 0.6766 0.5000
O: 0.1886 0.8099 0.1959
O: 0.3261 0.3234 0.5000
Tm: 0.5000 0.5000 0.2520
O: 0.8114 0.1901 0.8041
Ac: 0.0000 0.0000 0.5000
O: 0.2639 0.2627 0.0000
Tm: 0.5000 0.5000 0.7480
O: 0.7361 0.7373 0.0000
O: 0.1887 0.8099 0.8041
O: 0.8113 0.1901 0.1959
Tc: 0.0000 0.0000 0.0000

* total magnetization: 0.00 μB/cell
* raw total energy: -7.883 eV/atom
* energy relative to the elements, uncorrected: -31.51 eV per formula unit

=====

No. 4
An optimized crystal structure of Ta4CuSi. Source: Alexandria, functional PBE-GGA.

Cell lengths 5.3936, 5.3936, 5.3936 Å; angles 60.00, 60.00, 60.00 degrees
Fractional coordinates of all 6 atoms:
Cu: 0.2500 0.2500 0.2500
Ta: 0.6249 0.6249 0.6249
Ta: 0.6249 0.6249 0.1252
Si: 0.0000 0.0000 0.0000
Ta: 0.6249 0.1252 0.6249
Ta: 0.1252 0.6249 0.6249

* total magnetization: 0.00 μB/cell
* raw total energy: -8.781 eV/atom
* energy relative to the elements, uncorrected: 4.24 eV per formula unit

=====

No. 5
An optimized crystal structure of Cr2CoAu. Source: Alexandria, functional PBE-GGA.

Cell lengths 4.2915, 4.2915, 4.2915 Å; angles 60.00, 60.00, 60.00 degrees
Each line ends with the local moment (μB).
Fractional coordinates of all 4 atoms:
Au: 0.5000 0.5000 0.5000  0.10
Cr: 0.2500 0.2500 0.2500  2.96
Cr: 0.0000 0.0000 0.0000  -2.38
Co: 0.7500 0.7500 0.7500  1.00

* E_form: 347.6 meV per atom
* distance to the lowest polymorph of the same formula: 182.1 meV/atom
* total magnetization: 1.74 μB/cell
* raw total energy: -7.060 eV/atom

=====

No. 6
An optimized crystal structure of PrNdDy5Th2. Source: Alexandria, functional PBE-GGA.

Cell lengths 8.9096, 8.9096, 9.9157 Å; angles 116.70, 116.70, 90.00 degrees
Fractional coordinates of all 18 atoms:
Dy: 0.5000 0.5000 0.0000
Nd: 0.7500 0.2500 0.5000
Dy: 0.9300 0.4300 0.2724
Dy: 0.5700 0.6576 0.7276
Pr: 0.2500 0.2500 0.5000
Dy: 0.0000 0.0000 0.0000
Dy: 0.4300 0.3424 0.2724
Dy: 0.8424 0.9300 0.2724
Dy: 0.3424 0.8424 0.2724
Th: 0.6185 0.1185 0.0000
Dy: 0.0700 0.5700 0.7276
Nd: 0.2500 0.7500 0.5000
Dy: 0.1576 0.0700 0.7276
Dy: 0.6576 0.1576 0.7276
Th: 0.8815 0.6185 0.0000
Pr: 0.7500 0.7500 0.5000
Th: 0.1185 0.3815 0.0000
Th: 0.3815 0.8815 0.0000

* E_form: 315.3 meV per atom
* total magnetization: 0.00 μB/cell
* raw total energy: -4.951 eV/atom

=====

No. 7
An optimized crystal structure of CrSi2Ir. Source: Alexandria, functional PBE-GGA.

Cell lengths 7.9577, 7.9577, 7.9577 Å; angles 20.13, 20.13, 20.13 degrees
Each line ends with the local moment (μB).
Fractional coordinates of all 4 atoms:
Si: 0.9984 0.9984 0.9984  -0.01
Ir: 0.7500 0.7500 0.7500  0.01
Cr: 0.2500 0.2500 0.2500  1.04
Si: 0.5016 0.5016 0.5016  -0.01

* total magnetization: 1.13 μB/cell
* raw total energy: -7.538 eV/atom
* energy relative to the elements, uncorrected: -0.82 eV per formula unit

=====

No. 8
An optimized crystal structure of MnFe2BRu. Source: Alexandria, functional PBE-GGA.

Cell lengths 4.1382, 3.7601, 4.1382 Å; angles 90.00, 90.00, 90.00 degrees
Each line ends with the local moment (μB).
Fractional coordinates of all 5 atoms:
Fe: 0.5000 0.0000 0.0000  1.96
Ru: 0.5000 0.5000 0.5000  0.79
Fe: 0.0000 0.0000 0.5000  1.91
B: 0.0000 0.5000 0.0000  0.00
Mn: 0.0000 0.0000 0.0000  -0.58

* E_form: 1226.4 meV per atom
* total magnetization: 4.17 μB/cell
* raw total energy: -7.183 eV/atom

=====

No. 9
An optimized crystal structure of Mg2TlMo. Source: Alexandria, functional PBE-GGA.

Cell lengths 5.4273, 5.4273, 5.4273 Å; angles 135.60, 135.60, 64.60 degrees
Each line ends with the local moment (μB).
Fractional coordinates of all 4 atoms:
Mo: 0.5000 0.5000 0.0000  0.80
Mg: 0.2500 0.7500 0.5000  0.00
Mg: 0.0000 0.0000 0.0000  -0.01
Tl: 0.7500 0.2500 0.5000  0.01

* E_form: 370.3 meV per atom
* distance to the lowest polymorph of the same formula: 88.5 meV/atom
* total magnetization: 0.97 μB/cell
* raw total energy: -3.726 eV/atom

=====

No. 10
An optimized crystal structure of Pm3DyFe. Source: Alexandria, functional PBE-GGA.

Cell lengths 5.3633, 5.3633, 5.3633 Å; angles 90.00, 90.00, 90.00 degrees
Fractional coordinates of all 5 atoms:
Pm: 0.0000 0.0000 0.5000
Fe: 0.0000 0.0000 0.0000
Pm: 0.5000 0.0000 0.0000
Dy: 0.5000 0.5000 0.5000
Pm: 0.0000 0.5000 0.0000

* E_form: 200.9 meV per atom
* total magnetization: 0.01 μB/cell
* raw total energy: -5.262 eV/atom

=====

No. 11
An optimized crystal structure of NaSi2Au4. Source: Alexandria, functional PBE-GGA.

Cell lengths 4.5691, 4.4920, 6.8799 Å; angles 109.05, 90.00, 90.00 degrees
Fractional coordinates of all 7 atoms:
Au: 0.5000 0.8270 0.6541
Au: 0.5000 0.1730 0.3459
Au: 0.0000 0.3323 0.6645
Au: 0.0000 0.6677 0.3355
Na: 0.0000 0.0000 0.0000
Si: 0.5000 0.5918 0.1836
Si: 0.5000 0.4082 0.8164

* total magnetization: 0.00 μB/cell
* raw total energy: -3.788 eV/atom
* energy relative to the elements, uncorrected: -1.24 eV per formula unit

=====

No. 12
An optimized crystal structure of CaRuPt2. Source: Alexandria, functional PBE-GGA.

Cell lengths 4.9610, 4.9610, 2.8551 Å; angles 90.00, 90.00, 108.66 degrees
Fractional coordinates of all 4 atoms:
Pt: 0.5000 0.5000 0.0000
Ru: 0.5000 0.0000 0.5000
Pt: 0.0000 0.0000 0.0000
Ca: 0.0000 0.5000 0.5000

* E_form: -259.5 meV per atom
* distance to the lowest polymorph of the same formula: 0.0 meV/atom
* total magnetization: 0.00 μB/cell
* raw total energy: -6.099 eV/atom

=====

Q: What is the formula in the ninth record?
A: Mg2TlMo

=====

Q: Which of these has the highest raw total energy?
A: Mg2TlMo

=====

Q: Which formula does entry 2 have?
A: Nd2PaTl

=====

Repeat the eighth record exactly.
An optimized crystal structure of MnFe2BRu. Source: Alexandria, functional PBE-GGA.

Cell lengths 4.1382, 3.7601, 4.1382 Å; angles 90.00, 90.00, 90.00 degrees
Each line ends with the local moment (μB).
Fractional coordinates of all 5 atoms:
Fe: 0.5000 0.0000 0.0000  1.96
Ru: 0.5000 0.5000 0.5000  0.79
Fe: 0.0000 0.0000 0.5000  1.91
B: 0.0000 0.5000 0.0000  0.00
Mn: 0.0000 0.0000 0.0000  -0.58

* E_form: 1226.4 meV per atom
* total magnetization: 4.17 μB/cell
* raw total energy: -7.183 eV/atom